## BiTeRhO2 (PBEsol)

Data for an optimized crystal structure of BiTeRhO2.

Values from the calculation:
Crystal system: tetragonal
Formation energy (no corrections) (eV per atom): 0.07
Magnetic moment (μB per formula unit): 0.7
Space-group type: No. 123

Lattice parameters (Å, degrees): 3.9268 3.9268 6.2826 90.00 90.00 90.00
Closest atoms and distances in Å follow each position.
Sites, in units of the cell vectors:
Te 0.0000 0.0000 0.0000  4 O 1.96
Rh 0.5000 0.5000 0.5000  4 Bi 2.78
Bi 0.0000 0.0000 0.5000  4 Rh 2.78
O 0.0000 0.5000 0.0000  2 Te 1.96
O 0.5000 0.0000 0.0000  2 Te 1.96

## Li2InIr (PBEsol)

Data for an optimized crystal structure of Li2InIr.

Values from the calculation:
Crystal system: orthorhombic
Magnetic moment (μB per formula unit): 0.0
Formation enthalpy at 0 K (meV per atom): -193
Space-group type: No. 47

Lattice parameters (Å, degrees): 3.1174 4.3763 4.4830 90.00 90.00 90.00
Closest atoms and distances in Å follow each position.
Sites, in units of the cell vectors:
Ir 0.0000 0.5000 0.5000  4 In 2.69, 4 Li 2.73
In 0.5000 0.0000 0.5000  4 Ir 2.69, 4 Li 2.73
Li 0.0000 0.0000 0.0000  4 Li 2.69, 4 In 2.73
Li 0.5000 0.5000 0.0000  4 Li 2.69, 4 Ir 2.73

## CaZr2Cl (PBEsol)

Data for an optimized crystal structure of CaZr2Cl.

Values from the calculation:
Crystal system: tetragonal
Formation energy (no corrections) (eV per atom): 0.37
Magnetic moment (μB per formula unit): 0.0
Space-group type: No. 123
ΔE to the lowest computed polymorph (meV per atom): 420.8

Lattice parameters (Å, degrees): 3.1626 5.3579 5.3579 90.00 90.00 90.00
Closest atoms and distances in Å follow each position.
Sites, in units of the cell vectors:
Ca 0.5000 0.5000 0.5000  8 Zr 3.11, 2 Ca 3.16
Zr 0.0000 0.0000 0.5000  4 Cl 3.11, 4 Ca 3.11, 2 Zr 3.16
Zr 0.0000 0.5000 0.0000  4 Cl 3.11, 4 Ca 3.11, 2 Zr 3.16
Cl 0.5000 0.0000 0.0000  8 Zr 3.11, 2 Cl 3.16

## CaHfRe2C (PBEsol)

Data for an optimized crystal structure of CaHfRe2C.

Values from the calculation:
Crystal system: tetragonal
Magnetic moment (μB per formula unit): 0.0
Formation enthalpy at 0 K (meV per atom): 3906
Space-group type: No. 123

Lattice parameters (Å, degrees): 4.4137 4.4137 4.9649 90.00 90.00 90.00
Closest atoms and distances in Å follow each position.
Sites, in units of the cell vectors:
Re 0.0000 0.5000 0.0000  2 Ca 2.21
Re 0.5000 0.0000 0.0000  2 Ca 2.21
Ca 0.0000 0.0000 0.0000  4 Re 2.21
Hf 0.0000 0.0000 0.5000  2 Ca 2.48
C 0.5000 0.5000 0.5000  4 Hf 3.12, 8 Re 3.32

## Ag2Te2Pb (PBEsol)

Data for an optimized crystal structure of Ag2Te2Pb.

Values from the calculation:
Crystal system: tetragonal
Formation energy (no corrections) (eV per atom): -0.09
Magnetic moment (μB per formula unit): 0.0
Space-group type: No. 139

Lattice parameters (Å, degrees): 4.0998 4.0998 8.1277 104.61 104.61 90.00
Closest atoms and distances in Å follow each position.
Sites, in units of the cell vectors:
Pb 0.0000 0.0000 0.0000  8 Te 3.40
Te 0.3830 0.3830 0.7659  4 Ag 2.88
Te 0.6170 0.6170 0.2341  4 Ag 2.88
Ag 0.2500 0.7500 0.5000  4 Te 2.88, 4 Ag 2.90
Ag 0.7500 0.2500 0.5000  4 Te 2.88, 4 Ag 2.90

## LaRh3 (PBEsol)

Data for an optimized crystal structure of LaRh3.

Values from the calculation:
Crystal system: trigonal
Magnetic moment (μB per formula unit): 0.0
Formation enthalpy at 0 K (meV per atom): -480
Space-group type: No. 166

Lattice parameters (Å, degrees): 5.2690 5.2690 9.2769 73.50 73.50 60.00
Closest atoms and distances in Å follow each position.
Sites, in units of the cell vectors:
La 0.1389 0.1389 0.5832  12 Rh 3.04-3.35, 3 La 3.37
La 0.0000 0.0000 0.0000  18 Rh 3.04-3.39
La 0.8611 0.8611 0.4168  12 Rh 3.04-3.35, 3 La 3.37
Rh 0.9176 0.4197 0.2430  7 Rh 2.60-2.71
Rh 0.4197 0.9176 0.2430  7 Rh 2.60-2.71
Rh 0.5803 0.5803 0.7570  7 Rh 2.60-2.71
Rh 0.0824 0.5803 0.7570  7 Rh 2.60-2.71
Rh 0.4197 0.4197 0.2430  7 Rh 2.60-2.71
Rh 0.5803 0.0824 0.7570  7 Rh 2.60-2.71
Rh 0.3326 0.3326 0.0022  6 Rh 2.60-2.63
Rh 0.6674 0.6674 0.9978  6 Rh 2.60-2.63
Rh 0.5000 0.5000 0.5000  6 Rh 2.71

## Ca3MgMn (PBEsol)

Data for an optimized crystal structure of Ca3MgMn.

Values from the calculation:
Crystal system: cubic
Magnetic moment (μB per formula unit): 2.2
Formation enthalpy at 0 K (meV per atom): 478
Space-group type: No. 221
ΔE to the lowest computed polymorph (meV per atom): 0.0

Lattice parameters (Å, degrees): 5.4555 5.4555 5.4555 90.00 90.00 90.00
Closest atoms and distances in Å follow each position.
Sites, in units of the cell vectors:
Ca 0.0000 0.5000 0.0000  2 Mn 2.73
Ca 0.0000 0.0000 0.5000  2 Mn 2.73
Ca 0.5000 0.0000 0.0000  2 Mn 2.73
Mn 0.0000 0.0000 0.0000  6 Ca 2.73
Mg 0.5000 0.5000 0.5000  12 Ca 3.86

## PmSm (PBEsol)

Data for an optimized crystal structure of PmSm.

Values from the calculation:
Crystal system: hexagonal
Magnetic moment (μB per formula unit): 0.0
Formation enthalpy at 0 K (meV per atom): 27
Space-group type: No. 187

Lattice parameters (Å, degrees): 3.5772 3.5772 5.7687 90.00 90.00 120.00
Closest atoms and distances in Å follow each position.
Sites, in units of the cell vectors:
Sm 0.6667 0.3333 0.0000  6 Pm 3.55, 6 Sm 3.58
Pm 0.3333 0.6667 0.5000  6 Sm 3.55, 6 Pm 3.58

## CuIr2Os (PBEsol)

Data for an optimized crystal structure of CuIr2Os.

Values from the calculation:
Crystal system: tetragonal
Magnetic moment (μB per formula unit): 0.0
Formation enthalpy at 0 K (meV per atom): 212
Space-group type: No. 119
ΔE to the lowest computed polymorph (meV per atom): 160.2

Lattice parameters (Å, degrees): 3.7367 3.7367 4.6788 113.54 113.54 90.00
Closest atoms and distances in Å follow each position.
Sites, in units of the cell vectors:
Cu 0.2500 0.7500 0.5000  8 Ir 2.64-2.69, 4 Os 2.69
Ir 0.0000 0.0000 0.0000  4 Os 2.64, 4 Ir 2.69, 4 Cu 2.69
Ir 0.7500 0.2500 0.5000  4 Cu 2.64, 4 Os 2.69, 4 Ir 2.69
Os 0.5000 0.5000 0.0000  8 Ir 2.64-2.69, 4 Cu 2.69

## NaBeCoBi2 (PBEsol)

Data for an optimized crystal structure of NaBeCoBi2.

Values from the calculation:
Crystal system: tetragonal
Magnetic moment (μB per formula unit): 0.0
Formation enthalpy at 0 K (meV per atom): 288
Space-group type: No. 123
ΔE to the lowest computed polymorph (meV per atom): 0.0

Lattice parameters (Å, degrees): 4.2655 5.0613 5.0613 90.00 90.00 90.00
Closest atoms and distances in Å follow each position.
Sites, in units of the cell vectors:
Na 0.5000 0.5000 0.5000  8 Bi 3.31, 4 Be 3.58
Co 0.0000 0.0000 0.0000  2 Be 2.13
Bi 0.0000 0.0000 0.5000  2 Co 2.53
Bi 0.0000 0.5000 0.0000  2 Co 2.53
Be 0.5000 0.0000 0.0000  2 Co 2.13

## LiTiSi3O8 (PBEsol)

Data for an optimized crystal structure of LiTiSi3O8.

Values from the calculation:
Crystal system: triclinic
Formation energy (no corrections) (eV per atom): -2.70
Magnetic moment (μB per formula unit): 0.0
Space-group type: No. 2

Lattice parameters (Å, degrees): 7.1753 7.0626 7.3782 120.76 105.17 100.78
Closest atoms and distances in Å follow each position.
Sites, in units of the cell vectors:
Li 0.3803 0.0559 0.2286  4 O 1.98-2.21
Li 0.6197 0.9441 0.7714  4 O 1.98-2.21
Ti 0.0477 0.9511 0.8200  5 O 1.94-2.09
Ti 0.9523 0.0489 0.1800  5 O 1.94-2.09
Si 0.2340 0.5406 0.8037  4 O 1.61-1.65
Si 0.8025 0.1252 0.5181  4 O 1.60-1.68
Si 0.6543 0.5092 0.7810  4 O 1.61-1.66
Si 0.3457 0.4908 0.2190  4 O 1.61-1.66
Si 0.1975 0.8748 0.4819  4 O 1.60-1.68
Si 0.7660 0.4594 0.1963  4 O 1.61-1.65
O 0.2214 0.7955 0.8869  1 Si 1.61
O 0.6364 0.2647 0.5458  2 Si 1.66-1.67
O 0.2556 0.5207 0.0159  2 Si 1.61
O 0.8435 0.0503 0.6942  1 Si 1.62
O 0.8082 0.7561 0.8418  1 Si 1.64
O 0.0208 0.3187 0.5706  2 Si 1.65-1.68
O 0.4226 0.5129 0.7225  2 Si 1.61-1.62
O 0.7233 0.9156 0.2475  1 Si 1.60
O 0.2767 0.0844 0.7525  1 Si 1.60
O 0.5774 0.4871 0.2775  2 Si 1.61-1.62
O 0.9792 0.6813 0.4294  2 Si 1.65-1.68
O 0.1918 0.2439 0.1582  1 Si 1.64
O 0.1565 0.9497 0.3058  1 Si 1.62
O 0.7444 0.4793 0.9841  2 Si 1.61
O 0.3636 0.7353 0.4542  2 Si 1.66-1.67
O 0.7786 0.2045 0.1131  1 Si 1.61

## Zn2CrTc (PBEsol)

Data for an optimized crystal structure of Zn2CrTc.

Values from the calculation:
Crystal system: tetragonal
Magnetic moment (μB per formula unit): 2.2
Formation enthalpy at 0 K (meV per atom): 324
Space-group type: No. 123
ΔE to the lowest computed polymorph (meV per atom): 280.4

Lattice parameters (Å, degrees): 3.2323 3.2323 5.1552 90.00 90.00 90.00
Closest atoms and distances in Å follow each position.
Sites, in units of the cell vectors:
Cr 0.5000 0.5000 0.0000  2 Tc 2.58, 8 Zn 2.62
Tc 0.5000 0.5000 0.5000  2 Cr 2.58, 8 Zn 2.63
Zn 0.0000 0.0000 0.7513  2 Zn 2.56-2.59, 4 Cr 2.62, 4 Tc 2.63
Zn 0.0000 0.0000 0.2487  2 Zn 2.56-2.59, 4 Cr 2.62, 4 Tc 2.63

Copy entry 5 word for word.
## Ag2Te2Pb (PBEsol)

Data for an optimized crystal structure of Ag2Te2Pb.

Values from the calculation:
Crystal system: tetragonal
Formation energy (no corrections) (eV per atom): -0.09
Magnetic moment (μB per formula unit): 0.0
Space-group type: No. 139

Lattice parameters (Å, degrees): 4.0998 4.0998 8.1277 104.61 104.61 90.00
Closest atoms and distances in Å follow each position.
Sites, in units of the cell vectors:
Pb 0.0000 0.0000 0.0000  8 Te 3.40
Te 0.3830 0.3830 0.7659  4 Ag 2.88
Te 0.6170 0.6170 0.2341  4 Ag 2.88
Ag 0.2500 0.7500 0.5000  4 Te 2.88, 4 Ag 2.90
Ag 0.7500 0.2500 0.5000  4 Te 2.88, 4 Ag 2.90